First-principles (PBE) data for SrLa2Pr6 after structural relaxation, as listed in Alexandria via LeMat-Bulk.

The structure belongs to space group Immm (No. 71); the cell edges are 6.1541, 7.3192 and 15.6303 Å and the angles 90.00°, 90.00° and 90.00°. The asymmetric unit holds Sr at (0.0000, 0.0000, 0.0000), La at (0.0000, 0.5000, 0.1051), Pr at (0.0000, 0.2201, 0.5000) and Pr at (0.0000, 0.2378, 0.2859).

Its magnetization is 0.0 Bohr magnetons per cell. As for the crystal system: orthorhombic. Its formation energy is 0.289 eV/atom. Its total DFT energy (no corrections) is -4.179 eV/atom.



First-principles (PBE) data for CrHgSN2 after structural relaxation, as listed in Alexandria via LeMat-Bulk.

The structure belongs to space group P4/mmm (No. 123); the cell edges are 4.1404, 4.1404 and 5.5026 Å and the angles 90.00°, 90.00° and 90.00°. The asymmetric unit holds Cr at (0.0000, 0.0000, 0.0000), Hg at (0.5000, 0.5000, 0.5000), S at (0.5000, 0.5000, 0.0000) and N at (0.0000, 0.5000, 0.5000).

Its magnetization is 1.2 Bohr magnetons per cell. As for the crystal system: tetragonal. Its total DFT energy (no corrections) is -4.216 eV/atom. Its energy relative to the elements, uncorrected is 186 kJ per mole of atoms. The calculation puts the polymorph energy (0 for the lowest one) at 136.9 kJ/mol of atoms.



First-principles (PBE) data for CeZnSiPt2 after structural relaxation, as listed in Alexandria via LeMat-Bulk.

The structure belongs to space group Imm2 (No. 44); the cell edges are 3.8837, 4.1265 and 11.4502 Å and the angles 90.00°, 90.00° and 90.00°. The asymmetric unit holds Ce at (0.0000, 0.0000, 0.0000), Zn at (0.0000, 0.5000, 0.7508), Si at (0.0000, 0.0000, 0.6194), Pt at (0.0000, 0.0000, 0.4125) and Pt at (0.0000, 0.5000, 0.2393).

Its magnetization is 0.8 Bohr magnetons per cell. As for the crystal system: orthorhombic. Its total DFT energy (no corrections) is -5.808 eV/atom. Its energy relative to the elements, uncorrected is -84 kJ per mole of atoms.



First-principles (PBE) data for Y2ZrTe after structural relaxation, as listed in Alexandria via LeMat-Bulk.

The structure belongs to space group Immm (No. 71); the cell edges are 3.7448, 5.5017 and 10.5745 Å and the angles 90.00°, 90.00° and 90.00°. The asymmetric unit holds Y at (0.0000, 0.0000, 0.2392), Zr at (0.0000, 0.5000, 0.0000) and Te at (0.0000, 0.5000, 0.5000).

Its magnetization is 0.0 Bohr magnetons per cell. As for the crystal system: orthorhombic. Its total DFT energy (no corrections) is -6.449 eV/atom. Its energy relative to the elements, uncorrected is -28 kJ per mole of atoms.



First-principles (PBE) data for Y2InHg2 after structural relaxation, as listed in Alexandria via LeMat-Bulk.

The structure belongs to space group I4/mmm (No. 139); the cell edges are 4.0901, 4.0901 and 17.0785 Å and the angles 90.00°, 90.00° and 90.00°. The asymmetric unit holds Y at (0.0000, 0.0000, 0.1020), In at (0.0000, 0.0000, 0.5000) and Hg at (0.0000, 0.5000, 0.2500).

Its magnetization is 0.0 Bohr magnetons per cell. As for the crystal system: tetragonal. Its formation energy is -0.156 eV/atom. Its total DFT energy (no corrections) is -3.410 eV/atom. The calculation puts the polymorph energy (0 for the lowest one) at 29.6 kJ/mol of atoms.



First-principles (PBE) data for Ti2AgIrO8 after structural relaxation, as listed in Alexandria via LeMat-Bulk.

The structure belongs to space group P2/m (No. 10); the cell edges are 4.6127, 6.4161 and 4.6221 Å and the angles 90.00°, 90.35° and 90.00°. The asymmetric unit holds Ti at (0.0000, 0.2421, 0.0000), Ag at (0.5000, 0.0000, 0.5000), Ir at (0.5000, 0.5000, 0.5000), O at (0.1835, 0.0000, 0.1814), O at (0.2022, 0.5000, 0.2000) and O at (0.2891, 0.2878, 0.7085).

Its magnetization is 0.0 Bohr magnetons per cell. As for the crystal system: monoclinic. Its total DFT energy (no corrections) is -7.233 eV/atom. Its energy relative to the elements, uncorrected is -158 kJ per mole of atoms.



First-principles (PBE) data for Sc2GaHOs after structural relaxation, as listed in Alexandria via LeMat-Bulk.

The structure belongs to space group P4/mmm (No. 123); the cell edges are 4.5137, 4.5137 and 3.6023 Å and the angles 90.00°, 90.00° and 90.00°. The asymmetric unit holds Sc at (0.0000, 0.5000, 0.0000), Ga at (0.0000, 0.0000, 0.5000), H at (0.5000, 0.5000, 0.0000) and Os at (0.5000, 0.5000, 0.5000).

Its magnetization is 0.0 Bohr magnetons per cell. As for the crystal system: tetragonal. Its total DFT energy (no corrections) is -6.539 eV/atom.



First-principles (PBE) data for HgCS2Cl after structural relaxation, as listed in Alexandria via LeMat-Bulk.

The structure belongs to space group P4/mmm (No. 123); the cell edges are 3.9263, 3.9263 and 7.5166 Å and the angles 90.00°, 90.00° and 90.00°. The asymmetric unit holds Hg at (0.0000, 0.0000, 0.0000), C at (0.5000, 0.5000, 0.5000), S at (0.0000, 0.5000, 0.5000) and Cl at (0.5000, 0.5000, 0.0000).

Its magnetization is 0.0 Bohr magnetons per cell. As for the crystal system: tetragonal. Its total DFT energy (no corrections) is -2.974 eV/atom. Its energy relative to the elements, uncorrected is 92 kJ per mole of atoms. The calculation puts the polymorph energy (0 for the lowest one) at 0.0 kJ/mol of atoms.